Computed, not measured: a geometry-optimized Ga3Cu3Rh structure at the GGA-PBE level of DFT.

Summary:
Formation enthalpy at 0 K = -0.2431 eV/atom
Crystal system = hexagonal

Lattice parameters (Å, degrees): 7.2641 7.2641 4.1838 90.00 90.00 120.00
Closest atoms and distances in Å follow each position.
Space group P6_3/m (No. 176)
Asymmetric unit:
Ga 0.0887 0.4517 0.2500 (multiplicity 6)  4 Cu 2.56-2.66, 3 Rh 2.68-2.74, 2 Ga 2.73
Cu 0.0522 0.2278 0.7500 (multiplicity 6)  4 Ga 2.56-2.66, 6 Cu 2.58-2.60, 1 Rh 2.80
Rh 0.3333 0.6667 0.7500 (multiplicity 2)  9 Ga 2.68-2.74, 3 Cu 2.80

=====

Computed, not measured: a geometry-optimized Pr2IO2 structure at the GGA-PBE level of DFT.

Summary:
Raw formation energy = -2546 meV per atom
Crystal system = monoclinic
Energy above the lowest structure with this stoichiometry = 0 meV per atom

Lattice parameters (Å, degrees): 7.0866 10.5354 6.9715 90.00 120.53 90.00
Closest atoms and distances in Å follow each position.
Space group C2/c (No. 15)
Asymmetric unit:
Pr 0.0000 0.0505 0.2500 (multiplicity 4)  4 O 2.38-2.45
Pr 0.0000 0.3007 0.7500 (multiplicity 4)  4 O 2.38-2.45
I 0.0000 0.3748 0.2500 (multiplicity 4)  6 Pr 3.42-3.57, 4 O 3.51
O 0.1250 0.1250 0.9999 (multiplicity 8)  4 Pr 2.38-2.45

=====

Computed, not measured: a geometry-optimized PaSnBO5 structure at the GGA-PBE level of DFT.

Summary:
Raw formation energy = -2469 meV per atom
Crystal system = monoclinic

Lattice parameters (Å, degrees): 7.2334 8.9264 7.9340 90.00 114.52 90.00
Closest atoms and distances in Å follow each position.
Space group C2/c (No. 15)
Asymmetric unit:
Pa 0.0000 0.0000 0.0000 (multiplicity 4)  6 O 2.11-2.29
Sn 0.0000 0.3696 0.2500 (multiplicity 4)  2 O 2.22
B 0.0000 0.3141 0.7500 (multiplicity 4)  4 O 1.49-1.54
O 0.0000 0.0813 0.2500 (multiplicity 4)  2 Pa 2.11
O 0.0688 0.2191 0.6324 (multiplicity 8)  1 B 1.49
O 0.1692 0.4210 0.8719 (multiplicity 8)  1 B 1.54

=====

Computed, not measured: a geometry-optimized LuScU structure at the GGA-PBE level of DFT.

Summary:
Formation enthalpy at 0 K = 0.3450 eV/atom
Crystal system = hexagonal

Lattice parameters (Å, degrees): 5.3167 5.3167 3.0532 90.00 90.00 120.00
Closest atoms and distances in Å follow each position.
Space group P-6m2 (No. 187)
Asymmetric unit:
Lu 0.0000 0.0000 0.0000 (multiplicity 1)  2 Lu 3.05
Sc 0.3333 0.6667 0.5000 (multiplicity 1)  2 Sc 3.05, 3 U 3.07
U 0.6667 0.3333 0.5000 (multiplicity 1)  2 U 3.05, 3 Sc 3.07

=====

Computed, not measured: a geometry-optimized RbNbN2F structure at the GGA-PBE level of DFT.

Summary:
Raw formation energy = 1983 meV per atom
Crystal system = tetragonal
Energy above the lowest structure with this stoichiometry = 2874 meV per atom

Lattice parameters (Å, degrees): 4.3830 4.3830 4.5069 90.00 90.00 90.00
Closest atoms and distances in Å follow each position.
Space group P4/mmm (No. 123)
Asymmetric unit:
Rb 0.0000 0.0000 0.0000 (multiplicity 1)  4 N 2.19, 2 F 2.25
Nb 0.5000 0.5000 0.5000 (multiplicity 1)  4 F 3.10, 8 N 3.14
N 0.0000 0.5000 0.0000 (multiplicity 2)  2 Rb 2.19
F 0.0000 0.0000 0.5000 (multiplicity 1)  2 Rb 2.25

=====

Computed, not measured: a geometry-optimized V3Mo2W3 structure at the GGA-PBE level of DFT.

Summary:
Formation enthalpy at 0 K = 0.2274 eV/atom
Crystal system = monoclinic
Energy above the lowest structure with this stoichiometry = 325 meV per atom

Lattice parameters (Å, degrees): 4.6521 10.1736 5.2329 90.00 90.47 90.00
Closest atoms and distances in Å follow each position.
Space group P2_1/m (No. 11)
Asymmetric unit:
V 0.1175 0.2500 0.1386 (multiplicity 2)  4 W 2.57-2.71, 2 V 2.71
V 0.3195 0.6228 0.6277 (multiplicity 4)  3 Mo 2.58-2.71, 2 V 2.59-2.71, 2 W 2.62-2.88
Mo 0.1784 0.1221 0.6319 (multiplicity 4)  3 V 2.58-2.71, 1 Mo 2.60, 2 W 2.69-2.76
W 0.2532 0.0056 0.1340 (multiplicity 4)  2 V 2.57-2.62, 3 W 2.67-2.73, 1 Mo 2.69
W 0.3780 0.7500 0.1169 (multiplicity 2)  4 V 2.66-2.88, 2 W 2.67, 2 Mo 2.76

=====

| no. | theoretical density (g/cm³) |
| --- | --- |
| 1 | 8.732 |
| 2 | 6.529 |
| 3 | 6.278 |
| 4 | 10.174 |
| 5 | 4.323 |
| 6 | 12.018 |